[1]
Density functional theory data (PBE) for an optimized crystal structure of Y2Si2Tc2H.

Cell and atoms, written as POSCAR:
```
Y2Si2Tc2H
1.0
-3.029 -0.655 -2.663
-2.382 -1.337 3.038
0.354 7.581 0.867
Si Tc Y H
2 2 2 1
direct
0.391 0.391 0.782 Si
0.609 0.609 0.218 Si
0.500 0.000 0.000 Tc
0.000 0.500 0.000 Tc
0.163 0.163 0.326 Y
0.837 0.837 0.674 Y
0.000 0.000 0.000 H
```

Calculated values
VASP energy ... -52.17 eV for the cell shown
DOS at the Fermi energy ... 0.80 states/eV/atom

=====

[2]
Density functional theory data (PBE) for an optimized crystal structure of Si2Te6H.

Cell and atoms, written as POSCAR:
```
Si2Te6H
1.0
6.963 -0.124 -0.120
2.117 9.297 -1.652
2.117 -1.350 9.346
Si H Te
4 2 12
direct
0.457 0.213 0.333 Si
0.957 0.333 0.213 Si
0.043 0.667 0.787 Si
0.543 0.787 0.667 Si
0.750 0.897 0.103 H
0.250 0.103 0.897 H
0.452 0.967 0.166 Te
0.271 0.431 0.798 Te
0.548 0.033 0.834 Te
0.229 0.202 0.569 Te
0.783 0.234 0.412 Te
0.217 0.766 0.588 Te
0.952 0.166 0.967 Te
0.771 0.798 0.431 Te
0.717 0.588 0.766 Te
0.729 0.569 0.202 Te
0.048 0.834 0.033 Te
0.283 0.412 0.234 Te
```

Calculated values
VASP energy ... -64.30 eV for the cell shown
DOS at the Fermi energy ... 0.45 states/eV/atom

=====

[3]
Density functional theory data (PBE) for an optimized crystal structure of SiTeH2.

Cell and atoms, written as POSCAR:
```
SiTeH2
1.0
0.000 2.894 2.894
2.894 0.000 2.894
2.894 2.894 0.000
Si Te H
1 1 2
direct
0.000 0.000 0.000 Si
0.500 0.500 0.500 Te
0.750 0.750 0.750 H
0.250 0.250 0.250 H
```

Calculated values
E above lowest polymorph ... 586 meV/atom
VASP energy ... -11.83 eV for the cell shown
DOS at the Fermi energy ... 0.42 states/eV/atom

=====

[4]
Density functional theory data (PBE) for an optimized crystal structure of SiTeH4.

Cell and atoms, written as POSCAR:
```
SiTeH4
1.0
4.432 0.784 3.207
-1.723 4.135 3.149
1.261 2.339 8.753
H Te Si
4 1 1
direct
0.006 0.166 0.520 H
0.664 0.523 0.519 H
0.088 0.696 0.946 H
0.198 0.591 0.945 H
0.606 0.107 0.048 Te
0.927 0.434 0.530 Si
```

Calculated values
VASP energy ... -22.07 eV for the cell shown
DOS at the Fermi energy ... 0.00 states/eV/atom

=====

Which value of VASP energy does entry 4 give?
-22.07 eV for the cell shown